[1]
DFT (PBE) results for an optimized crystal structure of Tl2WCl.

Properties
- final energy (eV per atom) = -4.453
- uncorrected formation energy (meV/atom) = 430
- theoretical density (g/cm3) = 9.30

Lattice parameters (Å, degrees): 8.1594 8.1594 8.1594 158.49 145.66 40.88
Last column: nearest neighbours and their distance in Å.
Fractional coordinates of all 4 atoms:
Tl: 0.0000 0.0000 0.0000  2 Tl 3.05, 2 W 3.33
Tl: 0.6593 0.1593 0.5000  4 W 2.90, 2 Tl 3.05
W: 0.1939 0.6939 0.5000  2 Cl 2.42
Cl: 0.3169 0.3169 0.0000  2 W 2.42

[2]
DFT (PBE) results for an optimized crystal structure of Tl2WCl.

Properties
- final energy (eV per atom) = -3.750
- uncorrected formation energy (meV/atom) = 1133
- theoretical density (g/cm3) = 8.05

Lattice parameters (Å, degrees): 9.6764 9.6764 9.6764 147.60 147.60 46.48
Last column: nearest neighbours and their distance in Å.
Fractional coordinates of all 8 atoms:
Tl: 0.0677 0.6250 0.9427  2 W 2.80, 2 Cl 3.08
Tl: 0.3750 0.3177 0.4427  2 W 2.80, 2 Cl 3.08
Tl: 0.6823 0.1250 0.0573  2 W 2.80, 2 Cl 3.08
Tl: 0.8750 0.9323 0.5573  2 W 2.80, 2 Cl 3.08
W: 0.0000 0.0000 0.0000  4 Tl 2.80
W: 0.7500 0.2500 0.5000  4 Tl 2.80
Cl: 0.2500 0.7500 0.5000  4 Tl 3.08
Cl: 0.5000 0.5000 0.0000  4 Tl 3.08

[3]
DFT (PBE) results for an optimized crystal structure of Tl2W3Cl9.

Properties
- final energy (eV per atom) = -5.078
- uncorrected formation energy (meV/atom) = -777
- theoretical density (g/cm3) = 5.58

Lattice parameters (Å, degrees): 9.9616 9.9616 9.6601 103.73 103.73 116.91
Last column: nearest neighbours and their distance in Å.
Fractional coordinates of all 28 atoms:
Tl: 0.0377 0.7255 0.6664  5 Cl 3.12-3.46
Tl: 0.2745 0.9623 0.3336  5 Cl 3.12-3.46
Tl: 0.7255 0.0377 0.6664  5 Cl 3.12-3.46
Tl: 0.9623 0.2745 0.3336  5 Cl 3.12-3.46
W: 0.2823 0.4605 0.8786  5 Cl 2.44-2.58, 2 W 2.64-2.66
W: 0.3733 0.3733 0.1064  5 Cl 2.44-2.54, 2 W 2.66
W: 0.4605 0.2823 0.8786  5 Cl 2.44-2.58, 2 W 2.64-2.66
W: 0.5395 0.7177 0.1214  5 Cl 2.44-2.58, 2 W 2.64-2.66
W: 0.6267 0.6267 0.8936  5 Cl 2.44-2.54, 2 W 2.66
W: 0.7177 0.5395 0.1214  5 Cl 2.44-2.58, 2 W 2.64-2.66
Cl: 0.0080 0.3936 0.6881  1 W 2.58
Cl: 0.0944 0.3080 0.9849  2 W 2.44
Cl: 0.1934 0.1934 0.6803  2 W 2.48
Cl: 0.2421 0.2421 0.2735  1 W 2.54
Cl: 0.2901 0.7099 0.0000  2 W 2.44
Cl: 0.3080 0.0944 0.9849  2 W 2.44
Cl: 0.3790 0.5735 0.6965  2 W 2.46-2.47
Cl: 0.3936 0.0080 0.6881  1 W 2.58
Cl: 0.4265 0.6210 0.3035  2 W 2.46-2.47
Cl: 0.5735 0.3790 0.6965  2 W 2.46-2.47
Cl: 0.6064 0.9920 0.3119  1 W 2.58
Cl: 0.6210 0.4265 0.3035  2 W 2.46-2.47
Cl: 0.6920 0.9056 0.0151  2 W 2.44
Cl: 0.7099 0.2901 0.0000  2 W 2.44
Cl: 0.7579 0.7579 0.7265  1 W 2.54
Cl: 0.8066 0.8066 0.3197  2 W 2.48
Cl: 0.9056 0.6920 0.0151  2 W 2.44
Cl: 0.9920 0.6064 0.3119  1 W 2.58

[4]
DFT (PBE) results for an optimized crystal structure of Tl2WCl.

Properties
- final energy (eV per atom) = -3.805
- uncorrected formation energy (meV/atom) = 1079
- theoretical density (g/cm3) = 11.48

Lattice parameters (Å, degrees): 5.5823 5.5823 5.5823 133.19 133.19 68.35
Last column: nearest neighbours and their distance in Å.
Fractional coordinates of all 4 atoms:
Tl: 0.2500 0.7500 0.5000  4 Tl 3.14, 4 W 3.20, 4 Cl 3.20
Tl: 0.7500 0.2500 0.5000  4 Tl 3.14, 4 W 3.20, 4 Cl 3.20
W: 0.0000 0.0000 0.0000  4 Cl 3.14, 8 Tl 3.20
Cl: 0.5000 0.5000 0.0000  4 W 3.14, 8 Tl 3.20

[5]
DFT (PBE) results for an optimized crystal structure of TlWCl3.

Properties
- final energy (eV per atom) = -4.361
- uncorrected formation energy (meV/atom) = -190
- theoretical density (g/cm3) = 6.48

Lattice parameters (Å, degrees): 5.0225 5.0225 5.0225 90.00 90.00 90.00
Last column: nearest neighbours and their distance in Å.
Fractional coordinates of all 5 atoms:
Tl: 0.0000 0.0000 0.0000  12 Cl 3.55
W: 0.5000 0.5000 0.5000  6 Cl 2.51
Cl: 0.0000 0.5000 0.5000  2 W 2.51
Cl: 0.5000 0.0000 0.5000  2 W 2.51
Cl: 0.5000 0.5000 0.0000  2 W 2.51

[6]
DFT (PBE) results for an optimized crystal structure of TlWCl3.

Properties
- final energy (eV per atom) = -3.269
- uncorrected formation energy (meV/atom) = 903
- theoretical density (g/cm3) = 5.19

Lattice parameters (Å, degrees): 5.4101 5.4101 5.4101 90.00 90.00 90.00
Last column: nearest neighbours and their distance in Å.
Fractional coordinates of all 5 atoms:
Tl: 0.0000 0.0000 0.0000  6 Cl 2.71
W: 0.5000 0.5000 0.5000  12 Cl 3.83
Cl: 0.0000 0.0000 0.5000  2 Tl 2.71
Cl: 0.0000 0.5000 0.0000  2 Tl 2.71
Cl: 0.5000 0.0000 0.0000  2 Tl 2.71

[7]
DFT (PBE) results for an optimized crystal structure of Tl2WCl.

Properties
- final energy (eV per atom) = -4.201
- uncorrected formation energy (meV/atom) = 682
- theoretical density (g/cm3) = 12.07

Lattice parameters (Å, degrees): 9.8248 9.8248 9.8248 18.84 18.84 18.84
Last column: nearest neighbours and their distance in Å.
Fractional coordinates of all 4 atoms:
Tl: 0.2501 0.2501 0.2501  3 W 3.04, 3 Cl 3.05, 6 Tl 3.22
Tl: 0.7499 0.7499 0.7499  3 W 3.04, 3 Cl 3.05, 6 Tl 3.22
W: 0.0000 0.0000 0.0000  6 Tl 3.04, 6 W 3.22
Cl: 0.5000 0.5000 0.5000  6 Tl 3.05, 6 Cl 3.22

[8]
DFT (PBE) results for an optimized crystal structure of YTlCl.

Properties
- final energy (eV per atom) = -3.935
- uncorrected formation energy (meV/atom) = -376
- theoretical density (g/cm3) = 6.54

Lattice parameters (Å, degrees): 4.9050 4.9050 4.9050 60.00 60.00 60.00
Last column: nearest neighbours and their distance in Å.
Fractional coordinates of all 3 atoms:
Y: 0.0000 0.0000 0.0000  4 Cl 3.00
Tl: 0.5000 0.5000 0.5000  4 Cl 3.00
Cl: 0.7500 0.7500 0.7500  4 Tl 3.00, 4 Y 3.00

[9]
DFT (PBE) results for an optimized crystal structure of YTlCl.

Properties
- final energy (eV per atom) = -4.494
- uncorrected formation energy (meV/atom) = -935
- theoretical density (g/cm3) = 6.85

Lattice parameters (Å, degrees): 4.3146 4.3146 8.5667 90.00 90.00 90.00
Last column: nearest neighbours and their distance in Å.
Fractional coordinates of all 6 atoms:
Y: 0.2500 0.2500 0.2126  4 Cl 2.82
Y: 0.7500 0.7500 0.7874  4 Cl 2.82
Tl: 0.2500 0.2500 0.5847  5 Y 3.19-3.51, 4 Tl 3.38
Tl: 0.7500 0.7500 0.4153  5 Y 3.19-3.51, 4 Tl 3.38
Cl: 0.2500 0.7500 0.0000  4 Y 2.82, 4 Cl 3.05
Cl: 0.7500 0.2500 0.0000  4 Y 2.82, 4 Cl 3.05

[10]
DFT (PBE) results for an optimized crystal structure of YTlCl.

Properties
- final energy (eV per atom) = -4.475
- uncorrected formation energy (meV/atom) = -916
- theoretical density (g/cm3) = 5.91

Lattice parameters (Å, degrees): 3.6505 3.6505 7.9982 90.00 90.00 120.00
Last column: nearest neighbours and their distance in Å.
Fractional coordinates of all 3 atoms:
Y: 0.0000 0.0000 0.0000  3 Cl 2.77
Tl: 0.3333 0.6667 0.6860  3 Y 3.28, 6 Tl 3.65
Cl: 0.6667 0.3333 0.2249  3 Y 2.77

[11]
DFT (PBE) results for an optimized crystal structure of YTlCl.

Properties
- final energy (eV per atom) = -3.860
- uncorrected formation energy (meV/atom) = -301
- theoretical density (g/cm3) = 5.99

Lattice parameters (Å, degrees): 5.0523 5.0523 5.0523 60.00 60.00 60.00
Last column: nearest neighbours and their distance in Å.
Fractional coordinates of all 3 atoms:
Y: 0.0000 0.0000 0.0000  4 Tl 3.09, 4 Cl 3.09
Tl: 0.7500 0.7500 0.7500  4 Y 3.09
Cl: 0.2500 0.2500 0.2500  4 Y 3.09

[12]
DFT (PBE) results for an optimized crystal structure of YTl3Cl6.

Properties
- final energy (eV per atom) = -4.021
- uncorrected formation energy (meV/atom) = -1557
- theoretical density (g/cm3) = 4.52

Lattice parameters (Å, degrees): 7.4952 8.2192 12.9605 90.00 122.68 90.00
Last column: nearest neighbours and their distance in Å.
Fractional coordinates of all 20 atoms:
Y: 0.0000 0.0000 0.0000  6 Cl 2.66-2.67
Y: 0.0000 0.5000 0.5000  6 Cl 2.66-2.67
Tl: 0.2894 0.0679 0.7646  6 Cl 3.17-3.52
Tl: 0.2894 0.4321 0.2646  6 Cl 3.17-3.52
Tl: 0.5000 0.0000 0.5000  6 Cl 3.17-3.26
Tl: 0.5000 0.5000 0.0000  6 Cl 3.17-3.26
Tl: 0.7106 0.5679 0.7354  6 Cl 3.17-3.52
Tl: 0.7106 0.9321 0.2354  6 Cl 3.17-3.52
Cl: 0.1004 0.0623 0.2268  1 Y 2.66
Cl: 0.1004 0.4377 0.7268  1 Y 2.66
Cl: 0.2371 0.7316 0.0768  1 Y 2.67
Cl: 0.2371 0.7684 0.5768  1 Y 2.67
Cl: 0.3375 0.1665 0.0426  1 Y 2.66
Cl: 0.3375 0.3335 0.5426  1 Y 2.66
Cl: 0.6625 0.6665 0.4574  1 Y 2.66
Cl: 0.6625 0.8335 0.9574  1 Y 2.66
Cl: 0.7629 0.2316 0.4232  1 Y 2.67
Cl: 0.7629 0.2684 0.9232  1 Y 2.67
Cl: 0.8996 0.5623 0.2732  1 Y 2.66
Cl: 0.8996 0.9377 0.7732  1 Y 2.66